1.
A plane-wave DFT calculation with PBE was carried out for crystalline BeCoOs2 at its relaxed geometry.

Values from the calculation:
* uncorrected energy: -8.190 eV per atom

Unit cell a=2.6675 b=2.6675 c=24.1478 alpha=90.00 beta=90.00 gamma=120.00
Space group R-3m (No. 166, hexagonal axes)
Inequivalent atoms, fractional coordinates:
Be: 0.0000 0.0000 0.0000 [3 per cell]
Co: 0.0000 0.0000 0.5000 [3 per cell]
Os: 0.0000 0.0000 0.2526 [6 per cell]

2.
A plane-wave DFT calculation with PBE was carried out for crystalline Be2CoOs at its relaxed geometry.

Values from the calculation:
* excess energy over the best structure of this formula in the dataset: 0.1176 eV per atom

Unit cell a=2.953 b=4.036 c=7.081 alpha=90.00 beta=90.00 gamma=90.00
Space group Immm (No. 71)
Inequivalent atoms, fractional coordinates:
Be: 0.000 0.000 0.243 [4 per cell]
Co: 0.000 0.500 0.500 [2 per cell]
Os: 0.000 0.500 0.000 [2 per cell]

3.
A plane-wave DFT calculation with PBE was carried out for crystalline Be2CoOs at its relaxed geometry.

Values from the calculation:
* excess energy over the best structure of this formula in the dataset: 0.4029 eV per atom

Unit cell a=2.760 b=4.258 c=7.651 alpha=90.00 beta=90.00 gamma=90.00
Space group Cmm2 (No. 35)
Inequivalent atoms, fractional coordinates:
Be: 0.000 0.000 0.000 [2 per cell]
Be: 0.000 0.500 0.236 [2 per cell]
Co: 0.000 0.000 0.464 [2 per cell]
Os: 0.000 0.500 0.749 [2 per cell]

Number 1: N(E_F) 8.56 states/eV/cell. Number 2: N(E_F) 4.90 states/eV/cell. Number 3: N(E_F) 6.83 states/eV/cell.